[1]
Density functional theory data (PBE) for a geometry-optimized Fe4GeRh structure.

a = 2.5995 Å, b = 4.3245 Å, c = 7.0233 Å
α = 90.00°, β = 90.00°, γ = 90.00°
Sites, in units of the cell vectors:
Fe1 0.0000 0.0000 0.1762
Fe2 0.0000 0.0000 0.8238
Fe3 0.5000 0.5000 0.3159
Fe4 0.5000 0.5000 0.6841
Ge1 0.0000 0.5000 0.0000
Rh1 0.5000 0.0000 0.5000

## Properties
Its density of states at the Fermi level is 7.106 states/eV per cell. The energy relative to the elements comes out at 1.15 eV per formula unit. The density is 8.39 Mg/m³. As for the space group: No. 47.


[2]
Density functional theory data (PBE) for a geometry-optimized FeGe2Rh2 structure.

a = 7.1456 Å, b = 7.1456 Å, c = 2.8487 Å
α = 90.00°, β = 90.00°, γ = 90.00°
Sites, in units of the cell vectors:
Fe1 0.0000 0.0000 0.0000
Fe2 0.5000 0.5000 0.0000
Ge1 0.1538 0.3462 0.0000
Ge2 0.3462 0.8462 0.0000
Ge3 0.6538 0.1538 0.0000
Ge4 0.8462 0.6538 0.0000
Rh1 0.1457 0.6457 0.5000
Rh2 0.3543 0.1457 0.5000
Rh3 0.6457 0.8543 0.5000
Rh4 0.8543 0.3543 0.5000

## Properties
Its density of states at the Fermi level is 7.415 states/eV per cell. The energy relative to the elements comes out at -1.08 eV per formula unit. The density is 9.29 Mg/m³. As for the space group: No. 127. The polymorph energy (0 for the lowest one) comes out at 0 meV per atom.


[3]
Density functional theory data (PBE) for a geometry-optimized Fe2GeRh structure.

a = 5.4095 Å, b = 5.4095 Å, c = 5.4095 Å
α = 102.24°, β = 102.24°, γ = 125.16°
Sites, in units of the cell vectors:
Fe1 0.1164 0.6250 0.9914
Fe2 0.3750 0.3664 0.4914
Fe3 0.6336 0.1250 0.0086
Fe4 0.8750 0.8836 0.5086
Ge1 0.0000 0.0000 0.0000
Ge2 0.7500 0.2500 0.5000
Rh1 0.2500 0.7500 0.5000
Rh2 0.5000 0.5000 0.0000

## Properties
Its density of states at the Fermi level is 6.970 states/eV per cell. The energy relative to the elements comes out at 0.93 eV per formula unit. The density is 8.30 Mg/m³. As for the space group: No. 122.


[4]
Density functional theory data (PBE) for a geometry-optimized FeGe2SbRh structure.

a = 4.6385 Å, b = 4.6385 Å, c = 5.4924 Å
α = 90.00°, β = 90.00°, γ = 90.00°
Sites, in units of the cell vectors:
Fe1 0.0000 0.0000 0.0000
Ge1 0.0000 0.5000 0.5000
Ge2 0.5000 0.0000 0.5000
Sb1 0.5000 0.5000 0.0000
Rh1 0.5000 0.5000 0.5000

## Properties
Its density of states at the Fermi level is 7.361 states/eV per cell. The calculation puts the uncorrected formation energy at 650 meV per atom. The density is 5.98 Mg/m³. As for the space group: No. 123.


[5]
Density functional theory data (PBE) for a geometry-optimized SmFeGe2Rh structure.

a = 5.8615 Å, b = 5.8615 Å, c = 5.8615 Å
α = 138.68°, β = 138.68°, γ = 59.87°
Sites, in units of the cell vectors:
Sm1 0.0000 0.0000 0.0000
Fe1 0.7500 0.2500 0.5000
Ge1 0.3715 0.3715 0.0000
Ge2 0.6285 0.6285 0.0000
Rh1 0.2500 0.7500 0.5000

## Properties
Its density of states at the Fermi level is 3.005 states/eV per cell. The energy relative to the elements comes out at -3.36 eV per formula unit. The density is 8.68 Mg/m³. As for the space group: No. 119.


[6]
Density functional theory data (PBE) for a geometry-optimized SmFeGe3Rh structure.

a = 6.7000 Å, b = 6.7000 Å, c = 5.7552 Å
α = 90.00°, β = 90.00°, γ = 112.90°
Sites, in units of the cell vectors:
Sm1 0.2466 0.7534 0.7500
Sm2 0.7534 0.2466 0.2500
Fe1 0.0437 0.9563 0.2500
Fe2 0.9563 0.0437 0.7500
Ge1 0.2403 0.7597 0.2500
Ge2 0.2415 0.2415 0.0000
Ge3 0.2415 0.2415 0.5000
Ge4 0.7585 0.7585 0.0000
Ge5 0.7585 0.7585 0.5000
Ge6 0.7597 0.2403 0.7500
Rh1 0.4481 0.5519 0.2500
Rh2 0.5519 0.4481 0.7500

## Properties
Its density of states at the Fermi level is 5.580 states/eV per cell. The energy relative to the elements comes out at -1.79 eV per formula unit. The density is 7.35 Mg/m³. As for the space group: No. 63.


[7]
Density functional theory data (PBE) for a geometry-optimized SrFeGe2Rh structure.

a = 6.1108 Å, b = 6.1108 Å, c = 6.1108 Å
α = 139.87°, β = 139.87°, γ = 58.05°
Sites, in units of the cell vectors:
Sr1 0.0000 0.0000 0.0000
Fe1 0.7500 0.2500 0.5000
Ge1 0.3633 0.3633 0.0000
Ge2 0.6367 0.6367 0.0000
Rh1 0.2500 0.7500 0.5000

## Properties
Its density of states at the Fermi level is 3.668 states/eV per cell. The energy relative to the elements comes out at -2.56 eV per formula unit. The density is 6.92 Mg/m³. As for the space group: No. 119.


[8]
Density functional theory data (PBE) for a geometry-optimized TaFeGeRh structure.

a = 4.3407 Å, b = 4.3407 Å, c = 4.3407 Å
α = 60.00°, β = 60.00°, γ = 60.00°
Sites, in units of the cell vectors:
Ta1 0.0000 0.0000 0.0000
Fe1 0.2500 0.2500 0.2500
Ge1 0.5000 0.5000 0.5000
Rh1 0.7500 0.7500 0.7500

## Properties
Its density of states at the Fermi level is 1.652 states/eV per cell. The energy relative to the elements comes out at -1.03 eV per formula unit. The density is 11.84 Mg/m³. As for the space group: No. 216.


[9]
Density functional theory data (PBE) for a geometry-optimized TbFeGe2Rh structure.

a = 5.8175 Å, b = 5.8175 Å, c = 5.8175 Å
α = 138.61°, β = 138.61°, γ = 59.97°
Sites, in units of the cell vectors:
Tb1 0.0000 0.0000 0.0000
Fe1 0.7500 0.2500 0.5000
Ge1 0.3729 0.3729 0.0000
Ge2 0.6271 0.6271 0.0000
Rh1 0.2500 0.7500 0.5000

## Properties
Its density of states at the Fermi level is 2.844 states/eV per cell. The energy relative to the elements comes out at -3.35 eV per formula unit. The density is 9.02 Mg/m³. As for the space group: No. 119.


[10]
Density functional theory data (PBE) for a geometry-optimized FeGeTe2Rh structure.

a = 5.3544 Å, b = 5.3544 Å, c = 4.5584 Å
α = 90.00°, β = 90.00°, γ = 90.00°
Sites, in units of the cell vectors:
Fe1 0.0000 0.0000 0.0000
Ge1 0.5000 0.5000 0.0000
Te1 0.0000 0.5000 0.5000
Te2 0.5000 0.0000 0.5000
Rh1 0.5000 0.5000 0.5000

## Properties
Its density of states at the Fermi level is 7.186 states/eV per cell. The calculation puts the uncorrected formation energy at 643 meV per atom. The density is 6.18 Mg/m³. As for the space group: No. 123.


[11]
Density functional theory data (PBE) for a geometry-optimized TlFe2GeRh structure.

a = 4.8258 Å, b = 4.8258 Å, c = 4.6131 Å
α = 90.00°, β = 90.00°, γ = 90.00°
Sites, in units of the cell vectors:
Tl1 0.0000 0.0000 0.0000
Fe1 0.0000 0.5000 0.5000
Fe2 0.5000 0.0000 0.5000
Ge1 0.5000 0.5000 0.0000
Rh1 0.5000 0.5000 0.5000

## Properties
Its density of states at the Fermi level is 5.741 states/eV per cell. The energy relative to the elements comes out at 3.34 eV per formula unit. The density is 7.60 Mg/m³. As for the space group: No. 123.


[12]
Density functional theory data (PBE) for a geometry-optimized TmFeGe3Rh structure.

a = 7.1767 Å, b = 7.1767 Å, c = 5.4434 Å
α = 90.00°, β = 90.00°, γ = 119.30°
Sites, in units of the cell vectors:
Tm1 0.1722 0.8278 0.7500
Tm2 0.8278 0.1722 0.2500
Fe1 0.0522 0.9478 0.2500
Fe2 0.9478 0.0522 0.7500
Ge1 0.2315 0.7685 0.2500
Ge2 0.2540 0.2540 0.0000
Ge3 0.2540 0.2540 0.5000
Ge4 0.7460 0.7460 0.0000
Ge5 0.7460 0.7460 0.5000
Ge6 0.7685 0.2315 0.7500
Rh1 0.4153 0.5847 0.2500
Rh2 0.5847 0.4153 0.7500

## Properties
Its density of states at the Fermi level is 5.784 states/eV per cell. The energy relative to the elements comes out at -1.27 eV per formula unit. The density is 7.41 Mg/m³. As for the space group: No. 63.